ScCrMo | Alexandria | GGA-PBEsol | relaxed; space-group type = F-43m, No. 216; ΔE to the lowest computed polymorph = 0.000 eV per atom
1.0
4.2436 0.0000 0.0000
2.1218 3.6750 0.0000
2.1218 1.2250 3.4648
Sc Mo Cr
1 1 1
Cartesian
0.0000 0.0000 0.0000
2.1218 1.2250 0.8662
4.2436 2.4500 1.7324

***

CrMo2Se | Alexandria | GGA-PBEsol | relaxed; space-group type = Pmmm, No. 47; energy relative to the elements, uncorrected = 0.3030 eV/atom
1.0
3.0924 0.0000 0.0000
0.0000 4.2574 0.0000
0.0000 0.0000 4.3678
Mo Cr Se
2 1 1
Cartesian
1.5462 2.1287 0.0000
0.0000 0.0000 0.0000
0.0000 2.1287 2.1839
1.5462 0.0000 2.1839

***

CrMoSe | Alexandria | GGA-PBEsol | relaxed; space-group type = I4mm, No. 107; energy relative to the elements, uncorrected = 0.1617 eV/atom; ΔE to the lowest computed polymorph = 0.012 eV per atom
1.0
-2.2235 1.7422 0.7884
0.0460 -1.1601 2.6931
4.1961 3.0479 -0.3556
Cr Se Mo
1 1 1
Cartesian
1.9178 3.5216 3.0810
2.1766 2.3388 0.9703
-0.0571 1.3996 2.2007

***

CrMo3Se | Alexandria | GGA-PBEsol | relaxed; space-group type = Pm-3m, No. 221; energy relative to the elements, uncorrected = 1.3464 eV/atom
1.0
-1.6028 -0.2895 -4.1401
0.7271 -4.3891 0.0255
-4.0860 -0.6674 1.6286
Mo Se Cr
3 1 1
Cartesian
0.3635 -2.1946 0.0127
-0.8014 -0.1448 -2.0701
-2.0430 -0.3337 0.8143
-2.4809 -2.6730 -1.2430
0.0000 0.0000 0.0000

***

CrMo2Se | Alexandria | GGA-PBEsol | relaxed; space-group type = P4/mmm, No. 123; energy relative to the elements, uncorrected = 0.3977 eV/atom
1.0
-3.4851 0.5228 0.8352
-0.4896 -3.5829 0.1999
1.0630 0.0988 4.3737
Cr Mo Se
1 2 1
Cartesian
0.5315 0.0494 2.1869
-0.2448 -1.7915 0.0999
-1.7426 0.2614 0.4176
-1.4559 -1.4807 2.7044

***

CrMoSe | Alexandria | GGA-PBEsol | relaxed; space-group type = P-6m2, No. 187; energy relative to the elements, uncorrected = 0.1499 eV/atom; ΔE to the lowest computed polymorph = 0.000 eV per atom
1.0
-0.7661 -2.6278 0.9622
2.3889 -1.7222 -2.8011
1.4973 0.9067 3.6681
Cr Se Mo
1 1 1
Cartesian
-0.3831 -1.3139 0.4811
1.4114 -1.2835 1.9928
2.0917 -0.8459 -0.6447

***

CrSi2Mo | Alexandria | GGA-PBEsol | relaxed; space-group type = C2/m, No. 12; energy relative to the elements, uncorrected = -0.0703 eV/atom; ΔE to the lowest computed polymorph = 0.043 eV per atom
1.0
2.7230 0.0041 0.0062
-0.8666 4.5596 -0.0129
-0.8666 -1.7694 4.2023
Si Mo Cr
2 1 1
Cartesian
-0.4333 -0.8847 2.1011
-0.4333 2.2798 -0.0064
0.4949 1.3972 2.0978
1.3615 0.0021 0.0031

***

CrSi2Mo | Alexandria | GGA-PBEsol | relaxed; space-group type = Fm-3m, No. 225; energy relative to the elements, uncorrected = -0.1130 eV/atom; ΔE to the lowest computed polymorph = 0.000 eV per atom
1.0
-2.4464 -1.7204 -2.9190
-2.6938 -3.0192 1.0454
-4.1074 0.7710 -0.0037
Mo Si Cr
1 2 1
Cartesian
0.0000 0.0000 0.0000
-2.3119 -0.9921 -0.4693
-6.9357 -2.9764 -1.4080
-4.6238 -1.9843 -0.9386

***

CrSi2Mo | Alexandria | GGA-PBEsol | relaxed; space-group type = Pmmm, No. 47; energy relative to the elements, uncorrected = -0.0886 eV/atom; ΔE to the lowest computed polymorph = 0.024 eV per atom
1.0
3.1546 0.0000 0.0000
0.0000 3.7988 0.0000
0.0000 0.0000 4.2974
Si Cr Mo
2 1 1
Cartesian
1.5773 0.0000 2.1487
0.0000 0.0000 0.0000
1.5773 1.8994 0.0000
0.0000 1.8994 2.1487

***

CrSiMo | Alexandria | GGA-PBEsol | relaxed; space-group type = Fmm2, No. 42; energy relative to the elements, uncorrected = -0.0398 eV/atom
1.0
-1.4443 -0.9324 -2.0231
1.3652 -2.0566 0.9770
-4.3041 0.3376 4.1572
Cr Mo Si
1 1 1
Cartesian
-0.0665 -0.0177 0.0557
-2.8853 -0.7685 2.4140
-1.4313 -1.8652 0.6414

***

Cr3SiMo | Alexandria | GGA-PBEsol | relaxed; space-group type = Pm-3m, No. 221; energy relative to the elements, uncorrected = 1.7068 eV/atom
1.0
-4.4658 -0.6329 -0.0653
0.5581 -4.1189 1.7525
-0.3055 1.7269 4.1560
Cr Mo Si
3 1 1
Cartesian
0.2790 -2.0594 0.8763
-2.2329 -0.3164 -0.0326
-0.1527 0.8635 2.0780
0.0000 0.0000 0.0000
-2.1066 -1.5124 2.9216

***

Cr3SnMo | Alexandria | GGA-PBEsol | relaxed; space-group type = Pm-3m, No. 221; total energy = -7.945 eV per atom
1.0
4.5729 0.0000 0.0000
0.0000 4.5729 0.0000
0.0000 0.0000 4.5729
Mo Cr Sn
1 3 1
Cartesian
0.0000 0.0000 0.0000
0.0000 0.0000 2.2865
2.2865 0.0000 0.0000
0.0000 2.2865 0.0000
2.2865 2.2865 2.2865